[1]
! SrAg4Au2 | Alexandria via LeMat-Bulk | PBE | optimized geometry; values from VASP
&SYSTEM
  ibrav = 0, nat = 7, ntyp = 3
/
ATOMIC_SPECIES
Sr 87.62 Sr.upf
Ag 107.87 Ag.upf
Au 196.97 Au.upf
ATOMIC_POSITIONS angstrom
Sr 0.000 0.000 0.000
Ag 2.960 -5.279 -0.175
Ag 3.053 -2.369 -0.368
Ag 0.644 -3.760 0.735
Ag 3.109 -3.585 2.287
Au 0.655 -2.621 -1.870
Au 2.949 -6.418 2.430
CELL_PARAMETERS angstrom
-2.558 -3.085 -1.359
2.264 -0.309 -3.562
3.897 -5.646 5.480
! Space-group type: Cmmm
! Offset from the most stable computed form, meV per atom: 0.0

---

[2]
! Sr2AgAu3 | Alexandria via LeMat-Bulk | PBE | optimized geometry; values from VASP
&SYSTEM
  ibrav = 0, nat = 12, ntyp = 3
/
ATOMIC_SPECIES
Sr 87.62 Sr.upf
Ag 107.87 Ag.upf
Au 196.97 Au.upf
ATOMIC_POSITIONS angstrom
Sr -0.385 3.084 4.163
Sr 4.077 4.239 0.000
Sr 3.097 -0.265 4.163
Sr 1.347 1.401 0.000
Ag 2.712 2.820 2.773
Ag 0.000 0.000 5.552
Au 0.986 4.480 1.399
Au -1.726 1.660 6.927
Au 1.726 -1.660 6.927
Au 4.439 1.159 1.399
Au 0.000 0.000 2.787
Au 2.712 2.820 5.538
CELL_PARAMETERS angstrom
6.194 -0.529 0.000
-0.769 6.169 0.000
-2.712 -2.820 8.325
! Space-group type: Fmmm
! Total energy, eV/cell: -39.8

---

[3]
! Sr4AgAu3 | Alexandria via LeMat-Bulk | PBE | optimized geometry; values from VASP
&SYSTEM
  ibrav = 0, nat = 8, ntyp = 3
/
ATOMIC_SPECIES
Sr 87.62 Sr.upf
Ag 107.87 Ag.upf
Au 196.97 Au.upf
ATOMIC_POSITIONS angstrom
Sr 0.912 -4.961 1.865
Sr 6.429 -7.642 2.751
Sr 1.153 -0.960 0.682
Sr 3.790 -5.068 4.615
Ag -1.491 -2.960 0.445
Au 4.136 -5.733 1.396
Au 3.464 -2.885 2.048
Au 6.141 -7.025 6.005
CELL_PARAMETERS angstrom
-2.934 -1.382 3.016
-1.259 -3.530 -2.842
8.230 -6.853 4.865
! Space-group type: Pmm2
! Total energy, eV/cell: -24.7

---

[4]
! Sr2AgAu | Alexandria via LeMat-Bulk | PBE | optimized geometry; values from VASP
&SYSTEM
  ibrav = 0, nat = 4, ntyp = 3
/
ATOMIC_SPECIES
Sr 87.62 Sr.upf
Au 196.97 Au.upf
Ag 107.87 Ag.upf
ATOMIC_POSITIONS angstrom
Sr -1.811 0.605 4.430
Sr -2.927 -1.344 1.268
Au -3.320 -2.401 4.435
Ag 0.079 -1.611 2.749
CELL_PARAMETERS angstrom
-4.518 -2.737 -1.473
1.497 -3.272 1.487
-2.283 1.158 4.850
! Space-group type: P4/mmm
! Total energy, eV/cell: -11.5

---

[5]
! Sr12Ag5Au3 | Alexandria via LeMat-Bulk | PBE | optimized geometry; values from VASP
&SYSTEM
  ibrav = 0, nat = 80, ntyp = 3
/
ATOMIC_SPECIES
Au 196.97 Au.upf
Ag 107.87 Ag.upf
Sr 87.62 Sr.upf
ATOMIC_POSITIONS angstrom
Au -10.227 3.321 -0.082
Au -13.420 1.667 -4.565
Au -6.083 -8.808 -1.015
Au -2.459 -2.502 3.902
Au -10.205 5.180 5.357
Au -6.580 -3.775 -3.745
Au -6.967 -4.711 6.699
Au -3.342 -13.666 -2.402
Au -11.088 -5.985 -0.947
Au -7.464 0.322 3.969
Au -0.127 -10.154 7.520
Au -3.321 -11.808 3.036
Ag -2.481 -4.360 -1.537
Ag -2.287 -3.893 -6.759
Ag 0.000 0.000 0.000
Ag -5.221 0.497 -0.149
Ag -4.487 -0.351 8.236
Ag -8.199 1.170 -4.416
Ag -3.839 -8.633 -5.133
Ag -6.945 -2.852 12.138
Ag -10.657 -1.332 -0.515
Ag -2.868 -5.296 8.908
Ag -10.679 -3.190 -5.953
Ag -6.774 -4.243 1.477
Ag -5.912 5.063 2.343
Ag 1.425 -5.413 5.894
Ag -2.890 -7.155 3.469
Ag -6.602 -5.634 -9.184
Ag -0.862 -9.306 -0.866
Ag -9.708 0.147 8.087
Ag -8.326 -8.984 3.103
Ag -11.066 -4.126 4.491
Sr -8.992 5.789 2.243
Sr -5.172 -5.537 -0.929
Sr -12.150 3.728 2.688
Sr -7.153 2.443 1.068
Sr -8.424 -6.895 0.953
Sr -13.389 3.243 -1.320
Sr -6.260 -7.126 -4.201
Sr -4.701 -7.636 -10.358
Sr -9.266 -8.835 -2.200
Sr -10.776 0.809 -2.612
Sr -10.186 0.332 1.937
Sr -13.846 0.657 -8.002
Sr -3.253 -10.283 -2.697
Sr -6.057 -0.545 -2.835
Sr -4.279 -10.241 -7.627
Sr -3.724 -3.158 6.985
Sr -1.282 -2.802 0.729
Sr -8.183 -1.531 -6.070
Sr -13.122 -1.675 -5.095
Sr -3.141 -2.706 -3.950
Sr -6.532 -12.044 -1.947
Sr -8.556 -3.416 -1.006
Sr -13.111 -3.052 -0.377
Sr -8.101 -4.472 9.893
Sr -4.991 -5.071 3.960
Sr -0.436 -5.434 3.332
Sr -5.446 -4.015 -6.938
Sr -0.425 -6.812 8.049
Sr -7.015 3.558 4.901
Sr -10.406 -5.781 6.905
Sr -5.364 -6.956 9.024
Sr -9.823 -5.329 -4.031
Sr -12.265 -5.684 2.225
Sr -9.268 1.754 10.582
Sr -10.294 1.797 5.652
Sr 0.299 -9.144 10.957
Sr -7.490 -7.942 5.790
Sr -4.281 0.348 5.155
Sr -2.771 -9.296 5.567
Sr -3.361 -8.818 1.017
Sr -8.846 -0.850 13.312
Sr -7.287 -1.360 7.155
Sr -6.394 -10.930 1.887
Sr -0.158 -11.729 4.275
Sr -5.123 -1.592 2.001
Sr -1.397 -12.214 0.266
Sr -8.375 -2.950 3.883
Sr -4.555 -14.275 0.712
CELL_PARAMETERS angstrom
-11.824 10.125 4.686
-4.574 -7.785 -13.518
2.850 -10.826 11.787
! Space-group type: Ia-3d
! Total energy, eV/cell: -189.6

---

[6]
! Sr4AgAu | Alexandria via LeMat-Bulk | PBE | optimized geometry; values from VASP
&SYSTEM
  ibrav = 0, nat = 6, ntyp = 3
/
ATOMIC_SPECIES
Sr 87.62 Sr.upf
Ag 107.87 Ag.upf
Au 196.97 Au.upf
ATOMIC_POSITIONS angstrom
Sr -0.195 -7.951 5.484
Sr -1.968 -9.090 2.615
Sr -3.678 -7.289 5.165
Sr -1.347 -5.613 3.060
Ag -2.695 -11.228 6.122
Au 0.000 0.000 0.000
CELL_PARAMETERS angstrom
2.303 -4.673 4.844
-4.657 -3.349 4.207
-1.240 -6.949 -0.889
! Space-group type: F-43m
! Offset from the most stable computed form, meV per atom: 813.7

---

[7]
! SrAg2Au | Alexandria via LeMat-Bulk | PBE | optimized geometry; values from VASP
&SYSTEM
  ibrav = 0, nat = 4, ntyp = 3
/
ATOMIC_SPECIES
Ag 107.87 Ag.upf
Au 196.97 Au.upf
Sr 87.62 Sr.upf
ATOMIC_POSITIONS angstrom
Ag 0.000 0.000 0.000
Ag -0.564 -2.341 -1.922
Au -3.124 -0.575 -0.854
Sr -1.788 -2.519 1.127
CELL_PARAMETERS angstrom
-1.901 -0.396 -3.902
0.773 -4.285 0.059
-4.348 -0.754 2.195
! Space-group type: P4/mmm
! Total energy, eV/cell: -11.5

---

[8]
! SrAg4Au6 | Alexandria via LeMat-Bulk | PBE | optimized geometry; values from VASP
&SYSTEM
  ibrav = 0, nat = 11, ntyp = 3
/
ATOMIC_SPECIES
Sr 87.62 Sr.upf
Ag 107.87 Ag.upf
Au 196.97 Au.upf
ATOMIC_POSITIONS angstrom
Sr 0.000 0.000 0.000
Ag -2.841 0.463 3.390
Ag 1.772 1.715 2.522
Ag -2.841 2.982 1.677
Ag -3.128 3.156 4.641
Au -4.723 4.719 2.950
Au -4.723 1.008 5.473
Au 3.125 0.299 0.439
Au 1.795 -1.088 2.753
Au -0.718 2.291 3.369
Au 1.795 2.960 0.000
CELL_PARAMETERS angstrom
7.133 -0.276 -0.406
-3.543 6.197 0.406
-3.543 -1.901 5.912
! Space-group type: I-42m
! Total energy, eV/cell: -32.9

---

[9]
! Sr6AgAu | Alexandria via LeMat-Bulk | PBE | optimized geometry; values from VASP
&SYSTEM
  ibrav = 0, nat = 16, ntyp = 3
/
ATOMIC_SPECIES
Sr 87.62 Sr.upf
Ag 107.87 Ag.upf
Au 196.97 Au.upf
ATOMIC_POSITIONS angstrom
Sr 5.705 1.824 0.713
Sr 9.911 2.686 1.932
Sr 6.659 2.564 4.931
Sr 1.402 2.304 1.563
Sr 8.956 1.945 -2.286
Sr 14.214 2.206 1.082
Sr 4.343 5.515 2.656
Sr 2.290 3.162 5.774
Sr 11.273 -1.005 -0.010
Sr 13.325 1.348 -3.128
Sr 3.710 -0.567 3.947
Sr 11.906 5.076 -1.302
Ag 5.422 -1.278 1.362
Ag 10.193 5.788 1.284
Au 6.175 3.321 -1.980
Au 0.000 0.000 0.000
CELL_PARAMETERS angstrom
-0.473 4.552 6.157
3.738 -6.684 0.450
12.351 6.641 -3.961
! Space-group type: P-31c
! Total energy, eV/cell: -36.9

---

[10]
! SrAg2Au3 | Alexandria via LeMat-Bulk | PBE | optimized geometry; values from VASP
&SYSTEM
  ibrav = 0, nat = 12, ntyp = 3
/
ATOMIC_SPECIES
Sr 87.62 Sr.upf
Ag 107.87 Ag.upf
Au 196.97 Au.upf
ATOMIC_POSITIONS angstrom
Sr 1.376 1.733 2.125
Sr 4.129 4.409 5.405
Ag 2.753 5.176 2.047
Ag 0.000 5.176 2.047
Ag 0.000 0.966 5.482
Ag 2.753 0.966 5.482
Au 4.129 3.124 0.744
Au 4.129 0.102 3.210
Au 1.376 3.018 6.785
Au 4.129 0.345 0.423
Au 1.376 5.797 7.106
Au 1.376 6.040 4.320
CELL_PARAMETERS angstrom
5.505 0.000 0.000
0.000 7.119 0.462
0.000 -0.977 7.067
! Space-group type: Cmcm
! Total energy, eV/cell: -38.4

---

[11]
! SrAgAu4 | Alexandria via LeMat-Bulk | PBE | optimized geometry; values from VASP
&SYSTEM
  ibrav = 0, nat = 6, ntyp = 3
/
ATOMIC_SPECIES
Ag 107.87 Ag.upf
Au 196.97 Au.upf
Sr 87.62 Sr.upf
ATOMIC_POSITIONS angstrom
Ag 0.000 0.000 0.000
Au -1.453 4.371 4.657
Au -1.817 7.180 4.486
Au 0.113 5.897 2.849
Au -2.653 5.508 2.351
Sr -0.726 2.869 1.793
CELL_PARAMETERS angstrom
-0.725 5.594 -0.341
-3.845 2.555 3.260
1.664 3.329 4.252
! Space-group type: F-43m
! Total energy, eV/cell: -20.0

---

[12]
! SrAg4Au | Alexandria via LeMat-Bulk | PBE | optimized geometry; values from VASP
&SYSTEM
  ibrav = 0, nat = 6, ntyp = 3
/
ATOMIC_SPECIES
Ag 107.87 Ag.upf
Au 196.97 Au.upf
Sr 87.62 Sr.upf
ATOMIC_POSITIONS angstrom
Ag 4.252 4.081 2.886
Ag 7.069 4.081 2.886
Ag 5.660 1.641 2.886
Ag 5.660 3.268 0.585
Au 2.830 1.634 1.155
Sr 0.000 0.000 0.000
CELL_PARAMETERS angstrom
5.660 0.000 0.000
2.830 4.902 0.000
2.830 1.634 4.622
! Space-group type: F-43m
! Total energy, eV/cell: -17.6